VInNi2H: optimized geometry, PBE.

The energy is -26.79 eV/f.u. The calculation puts the theoretical density at 8.065 g/cm3. The calculation puts the total magnetic moment at 2.7 Bohr magnetons per cell.

Structure (POSCAR):
```
VInNi2H
1.0
-0.1270 -0.4131 -3.8883
3.9072 0.1374 -0.1423
0.1481 -3.7988 0.3987
Ni H V In
2 1 1 1
Direct
0.0000 0.5000 0.0000
0.5000 0.0000 0.0000
0.0000 0.0000 0.0000
0.0000 0.0000 0.5000
0.5000 0.5000 0.5000
```